Below is a geometry-optimized ScAuI2O structure, with properties calculated at the GGA-PBE level.

Output
For the raw formation energy, the calculation gives -0.92 eV/atom. The excess energy over the best structure of this formula in the dataset comes out at 0 meV/atom. As for the total moment: 0.00 μB/cell. As for the symmetry: P4/mmm, No. 123.

```
ScAuI2O
1.0
5.9138 0.0000 0.0000
0.0000 5.9138 0.0000
0.0000 0.0000 3.8555
Sc Au I O
1 1 2 1
Direct
0.0000 0.0000 0.0000 Sc
0.5000 0.5000 0.5000 Au
0.0000 0.5000 0.0000 I
0.5000 0.0000 0.0000 I
0.0000 0.0000 0.5000 O
```


Below is a geometry-optimized AuSeIO2 structure, with properties calculated at the GGA-PBE level.

Output
For the raw formation energy, the calculation gives 0.09 eV/atom. The excess energy over the best structure of this formula in the dataset comes out at 0 meV/atom. As for the total moment: 0.00 μB/cell. As for the symmetry: P4/mmm, No. 123.

```
AuSeIO2
1.0
3.8977 0.0000 0.0000
0.0000 3.8977 0.0000
0.0000 0.0000 7.8821
Au Se I O
1 1 1 2
Direct
0.0000 0.0000 0.0000 Au
0.5000 0.5000 0.5000 Se
0.5000 0.5000 0.0000 I
0.0000 0.5000 0.5000 O
0.5000 0.0000 0.5000 O
```


Below is a geometry-optimized AuSeI2O structure, with properties calculated at the GGA-PBE level.

Output
For the raw formation energy, the calculation gives 0.54 eV/atom. The excess energy over the best structure of this formula in the dataset comes out at 259 meV/atom. As for the total moment: 0.00 μB/cell. As for the symmetry: P4/mmm, No. 123.

```
AuSeI2O
1.0
5.7144 0.0000 0.0000
0.0000 5.7144 0.0000
0.0000 0.0000 3.9695
Au Se I O
1 1 2 1
Direct
0.0000 0.0000 0.0000 Au
0.5000 0.5000 0.5000 Se
0.0000 0.5000 0.0000 I
0.5000 0.0000 0.0000 I
0.0000 0.0000 0.5000 O
```


Below is a geometry-optimized AuSeIO2 structure, with properties calculated at the GGA-PBE level.

Output
For the raw formation energy, the calculation gives 0.51 eV/atom. The excess energy over the best structure of this formula in the dataset comes out at 419 meV/atom. As for the total moment: 1.59 μB/cell. As for the symmetry: P4/mmm, No. 123.

```
AuSeIO2
1.0
4.0044 0.0000 0.0000
0.0000 4.0044 0.0000
0.0000 0.0000 8.1737
Au Se I O
1 1 1 2
Direct
0.0000 0.0000 0.0000 Au
0.5000 0.5000 0.5000 Se
0.0000 0.0000 0.5000 I
0.0000 0.5000 0.0000 O
0.5000 0.0000 0.0000 O
```


Which formula does entry 1 have?
ScAuI2O


Which value of total moment does entry 3 give?
0.00 μB/cell


Among the records above, which one has the lowest raw formation energy?
ScAuI2O